# 1
# PBE-GGA Ge2PbCl6, relaxed
# Electronic total energy: -3.563 eV per atom
# ΔE_f (raw): -0.89 eV per atom
# Theoretical density: 3.071 g cm⁻³
# Volume: 33.95 Å³ per atom
# Relative energy among the computed polymorphs: 4 meV/atom
data_Ge2PbCl6
_cell_length_a 16.9731
_cell_length_b 11.2894
_cell_length_c 6.9809
_cell_angle_alpha 90.00
_cell_angle_beta 113.97
_cell_angle_gamma 90.00
_space_group_name_H-M_alt 'C 1 2/c 1'
_space_group_IT_number 15
loop_
_space_group_symop_operation_xyz
'x,y,z'
'-x,-y,-z'
'-x,y,-z+1/2'
'x,-y,z+1/2'
'x+1/2,y+1/2,z'
'-x+1/2,-y+1/2,-z'
'-x+1/2,y+1/2,-z+1/2'
'x+1/2,-y+1/2,z+1/2'
loop_
_atom_site_label
_atom_site_type_symbol
_atom_site_fract_x
_atom_site_fract_y
_atom_site_fract_z
_atom_site_occupancy
Ge1 Ge 0.2303 0.0779 0.0368 1
Pb1 Pb 0.0000 0.3953 0.7500 1
Cl1 Cl 0.1017 0.4283 0.5056 1
Cl2 Cl 0.1340 0.0484 0.6739 1
Cl3 Cl 0.1626 0.2531 0.0789 1



# 2
# PBE-GGA Ge5Pb3Cl16, relaxed
# Electronic total energy: -3.570 eV per atom
# ΔE_f (raw): -0.91 eV per atom
# Theoretical density: 3.192 g cm⁻³
# Volume: 33.64 Å³ per atom
data_Ge5Pb3Cl16
_cell_length_a 15.8038
_cell_length_b 8.0537
_cell_length_c 12.6875
_cell_angle_alpha 90.00
_cell_angle_beta 90.74
_cell_angle_gamma 90.00
_space_group_name_H-M_alt 'C 1 m 1'
_space_group_IT_number 8
loop_
_space_group_symop_operation_xyz
'x,y,z'
'x,-y,z'
'x+1/2,y+1/2,z'
'x+1/2,-y+1/2,z'
loop_
_atom_site_label
_atom_site_type_symbol
_atom_site_fract_x
_atom_site_fract_y
_atom_site_fract_z
_atom_site_occupancy
Ge1 Ge 0.0000 0.0000 0.0000 1
Ge2 Ge 0.0396 0.2662 0.2803 1
Ge3 Ge 0.2905 0.0000 0.4908 1
Ge4 Ge 0.4501 0.0000 0.7693 1
Pb1 Pb 0.2240 0.2501 0.7874 1
Pb2 Pb 0.3163 0.5000 0.2757 1
Cl1 Cl 0.0617 0.2244 0.9001 1
Cl2 Cl 0.1063 0.5000 0.1736 1
Cl3 Cl 0.1082 0.0000 0.1334 1
Cl4 Cl 0.1651 0.5000 0.6587 1
Cl5 Cl 0.1712 0.0000 0.6101 1
Cl6 Cl 0.2306 0.2285 0.3878 1
Cl7 Cl 0.2867 0.5000 0.9162 1
Cl8 Cl 0.3445 0.0000 0.9046 1
Cl9 Cl 0.3819 0.2237 0.6709 1
Cl10 Cl 0.4160 0.2394 0.1695 1
Cl11 Cl 0.4523 0.5000 0.4018 1
Cl12 Cl 0.4840 0.0000 0.3939 1



# 3
# PBE-GGA GePbCl6, relaxed
# Electronic total energy: -3.264 eV per atom
# ΔE_f (raw): -0.84 eV per atom
# Theoretical density: 3.294 g cm⁻³
# Volume: 31.04 Å³ per atom
data_GePbCl6
_cell_length_a 6.6490
_cell_length_b 11.9162
_cell_length_c 6.4808
_cell_angle_alpha 90.00
_cell_angle_beta 104.71
_cell_angle_gamma 90.00
_space_group_name_H-M_alt 'C 1 2/m 1'
_space_group_IT_number 12
loop_
_space_group_symop_operation_xyz
'x,y,z'
'-x,-y,-z'
'-x,y,-z'
'x,-y,z'
'x+1/2,y+1/2,z'
'-x+1/2,-y+1/2,-z'
'-x+1/2,y+1/2,-z'
'x+1/2,-y+1/2,z'
loop_
_atom_site_label
_atom_site_type_symbol
_atom_site_fract_x
_atom_site_fract_y
_atom_site_fract_z
_atom_site_occupancy
Ge1 Ge 0.0000 0.0000 0.0000 1
Pb1 Pb 0.0000 0.5000 0.5000 1
Cl1 Cl 0.1878 0.1407 0.2172 1
Cl2 Cl 0.2469 0.0000 0.7984 1



# 4
# PBE-GGA Ge2PbCl, relaxed
# Electronic total energy: -3.677 eV per atom
# ΔE_f (raw): 0.02 eV per atom
# Theoretical density: 6.254 g cm⁻³
# Volume: 25.75 Å³ per atom
# Relative energy among the computed polymorphs: 0 meV/atom
data_Ge2PbCl
_cell_length_a 4.0801
_cell_length_b 4.0801
_cell_length_c 24.7504
_cell_angle_alpha 90.00
_cell_angle_beta 90.00
_cell_angle_gamma 90.00
_space_group_name_H-M_alt 'I -4 2 d'
_space_group_IT_number 122
_space_group_name_Hall 'I -4 2bw'
loop_
_atom_site_label
_atom_site_type_symbol
_atom_site_fract_x
_atom_site_fract_y
_atom_site_fract_z
_atom_site_occupancy
Ge1 Ge 0.2091 0.2500 0.1250 1
Pb1 Pb 0.0000 0.0000 0.0000 1
Cl1 Cl 0.0000 0.0000 0.5000 1



# 5
# PBE-GGA Ge2PbCl2, relaxed
# Electronic total energy: -3.337 eV per atom
# ΔE_f (raw): -0.01 eV per atom
# Theoretical density: 5.508 g cm⁻³
# Volume: 25.53 Å³ per atom
# Relative energy among the computed polymorphs: 300 meV/atom
data_Ge2PbCl2
_cell_length_a 8.8527
_cell_length_b 8.8527
_cell_length_c 3.2576
_cell_angle_alpha 90.00
_cell_angle_beta 90.00
_cell_angle_gamma 90.00
_space_group_name_H-M_alt 'P 4/m b m'
_space_group_IT_number 127
_space_group_name_Hall '-P 4 2ab'
loop_
_atom_site_label
_atom_site_type_symbol
_atom_site_fract_x
_atom_site_fract_y
_atom_site_fract_z
_atom_site_occupancy
Ge1 Ge 0.2224 0.2776 0.0000 1
Pb1 Pb 0.0000 0.0000 0.5000 1
Cl1 Cl 0.1217 0.6217 0.5000 1



# 6
# PBE-GGA GePb2Cl6, relaxed
# Electronic total energy: -3.579 eV per atom
# ΔE_f (raw): -1.01 eV per atom
# Theoretical density: 4.376 g cm⁻³
# Volume: 29.50 Å³ per atom
data_GePb2Cl6
_cell_length_a 6.9232
_cell_length_b 7.4305
_cell_length_c 11.9455
_cell_angle_alpha 90.00
_cell_angle_beta 120.21
_cell_angle_gamma 90.00
_space_group_name_H-M_alt 'P 1 21/c 1'
_space_group_IT_number 14
loop_
_space_group_symop_operation_xyz
'x,y,z'
'-x,-y,-z'
'-x,y+1/2,-z+1/2'
'x,-y+1/2,z+1/2'
loop_
_atom_site_label
_atom_site_type_symbol
_atom_site_fract_x
_atom_site_fract_y
_atom_site_fract_z
_atom_site_occupancy
Ge1 Ge 0.0000 0.0000 0.0000 1
Pb1 Pb 0.3190 0.0831 0.7809 1
Cl1 Cl 0.0789 0.0700 0.2371 1
Cl2 Cl 0.2608 0.7026 0.0929 1
Cl3 Cl 0.3700 0.1821 0.0464 1



# 7
# PBE-GGA Ge2PbCl6, relaxed
# Electronic total energy: -3.566 eV per atom
# ΔE_f (raw): -0.90 eV per atom
# Theoretical density: 2.946 g cm⁻³
# Volume: 35.39 Å³ per atom
# Relative energy among the computed polymorphs: 0 meV/atom
data_Ge2PbCl6
_cell_length_a 15.4908
_cell_length_b 11.6712
_cell_length_c 7.0606
_cell_angle_alpha 90.00
_cell_angle_beta 93.52
_cell_angle_gamma 90.00
_space_group_name_H-M_alt 'C 1 2/c 1'
_space_group_IT_number 15
loop_
_space_group_symop_operation_xyz
'x,y,z'
'-x,-y,-z'
'-x,y,-z+1/2'
'x,-y,z+1/2'
'x+1/2,y+1/2,z'
'-x+1/2,-y+1/2,-z'
'-x+1/2,y+1/2,-z+1/2'
'x+1/2,-y+1/2,z+1/2'
loop_
_atom_site_label
_atom_site_type_symbol
_atom_site_fract_x
_atom_site_fract_y
_atom_site_fract_z
_atom_site_occupancy
Ge1 Ge 0.2415 0.0845 0.0645 1
Pb1 Pb 0.0000 0.3966 0.2500 1
Cl1 Cl 0.1012 0.4331 0.6044 1
Cl2 Cl 0.1471 0.0391 0.7933 1
Cl3 Cl 0.1636 0.2541 0.1480 1



# 8
# PBE-GGA Pr3GePbCl, relaxed
# Electronic total energy: -5.037 eV per atom
# ΔE_f (raw): -0.95 eV per atom
# Theoretical density: 6.582 g cm⁻³
# Volume: 31.03 Å³ per atom
data_Pr3GePbCl
_cell_length_a 7.6584
_cell_length_b 4.2992
_cell_length_c 11.5529
_cell_angle_alpha 90.00
_cell_angle_beta 101.76
_cell_angle_gamma 90.00
_space_group_name_H-M_alt 'P 1 21/m 1'
_space_group_IT_number 11
loop_
_space_group_symop_operation_xyz
'x,y,z'
'-x,-y,-z'
'-x,y+1/2,-z'
'x,-y+1/2,z'
loop_
_atom_site_label
_atom_site_type_symbol
_atom_site_fract_x
_atom_site_fract_y
_atom_site_fract_z
_atom_site_occupancy
Pr1 Pr 0.0434 0.2500 0.1548 1
Pr2 Pr 0.2302 0.7500 0.4959 1
Pr3 Pr 0.4544 0.7500 0.8524 1
Ge1 Ge 0.2671 0.7500 0.0668 1
Pb1 Pb 0.1524 0.2500 0.6881 1
Cl1 Cl 0.3815 0.2500 0.3703 1



# 9
# PBE-GGA RbGePb2Cl, relaxed
# Electronic total energy: -3.088 eV per atom
# ΔE_f (raw): -0.12 eV per atom
# Theoretical density: 4.468 g cm⁻³
# Volume: 45.19 Å³ per atom
data_RbGePb2Cl
_cell_length_a 5.4280
_cell_length_b 5.4280
_cell_length_c 7.6692
_cell_angle_alpha 90.00
_cell_angle_beta 90.00
_cell_angle_gamma 90.00
_space_group_name_H-M_alt 'P 4/m m m'
_space_group_IT_number 123
_space_group_name_Hall '-P 4 2'
loop_
_atom_site_label
_atom_site_type_symbol
_atom_site_fract_x
_atom_site_fract_y
_atom_site_fract_z
_atom_site_occupancy
Rb1 Rb 0.0000 0.0000 0.0000 1
Ge1 Ge 0.5000 0.5000 0.5000 1
Pb1 Pb 0.0000 0.5000 0.5000 1
Cl1 Cl 0.5000 0.5000 0.0000 1



# 10
# PBE-GGA Rb3Ge2PbCl9, relaxed
# Electronic total energy: -3.512 eV per atom
# ΔE_f (raw): -1.35 eV per atom
# Theoretical density: 3.199 g cm⁻³
# Volume: 32.11 Å³ per atom
data_Rb3Ge2PbCl9
_cell_length_a 7.6232
_cell_length_b 7.6232
_cell_length_c 9.5704
_cell_angle_alpha 90.00
_cell_angle_beta 90.00
_cell_angle_gamma 120.00
_space_group_name_H-M_alt 'P -3 m 1'
_space_group_IT_number 164
_space_group_name_Hall '-P 3 2"'
loop_
_atom_site_label
_atom_site_type_symbol
_atom_site_fract_x
_atom_site_fract_y
_atom_site_fract_z
_atom_site_occupancy
Rb1 Rb 0.0000 0.0000 0.0000 1
Rb2 Rb 0.3333 0.6667 0.7055 1
Ge1 Ge 0.3333 0.6667 0.1620 1
Pb1 Pb 0.0000 0.0000 0.5000 1
Cl1 Cl 0.0000 0.5000 0.0000 1
Cl2 Cl 0.1715 0.3430 0.3187 1



# 11
# PBE-GGA RbGePb2Cl8, relaxed
# Electronic total energy: -3.417 eV per atom
# ΔE_f (raw): -1.10 eV per atom
# Theoretical density: 3.664 g cm⁻³
# Volume: 32.33 Å³ per atom
data_RbGePb2Cl8
_cell_length_a 6.5088
_cell_length_b 8.8610
_cell_length_c 6.7294
_cell_angle_alpha 90.00
_cell_angle_beta 91.65
_cell_angle_gamma 90.00
_space_group_name_H-M_alt 'P 1 2/m 1'
_space_group_IT_number 10
loop_
_space_group_symop_operation_xyz
'x,y,z'
'-x,-y,-z'
'-x,y,-z'
'x,-y,z'
loop_
_atom_site_label
_atom_site_type_symbol
_atom_site_fract_x
_atom_site_fract_y
_atom_site_fract_z
_atom_site_occupancy
Rb1 Rb 0.0000 0.0000 0.0000 1
Ge1 Ge 0.0000 0.5000 0.0000 1
Pb1 Pb 0.5000 0.2570 0.5000 1
Cl1 Cl 0.2200 0.3035 0.1632 1
Cl2 Cl 0.2382 0.5000 0.7040 1
Cl3 Cl 0.2761 0.0000 0.6227 1



# 12
# PBE-GGA GePbS2Cl, relaxed
# Electronic total energy: -3.908 eV per atom
# ΔE_f (raw): -0.22 eV per atom
# Theoretical density: 4.923 g cm⁻³
# Volume: 25.59 Å³ per atom
# Relative energy among the computed polymorphs: 0 meV/atom
data_GePbS2Cl
_cell_length_a 5.0448
_cell_length_b 5.0448
_cell_length_c 5.0283
_cell_angle_alpha 90.00
_cell_angle_beta 90.00
_cell_angle_gamma 90.00
_space_group_name_H-M_alt 'P 4/m m m'
_space_group_IT_number 123
_space_group_name_Hall '-P 4 2'
loop_
_atom_site_label
_atom_site_type_symbol
_atom_site_fract_x
_atom_site_fract_y
_atom_site_fract_z
_atom_site_occupancy
Ge1 Ge 0.0000 0.0000 0.0000 1
Pb1 Pb 0.5000 0.5000 0.5000 1
S1 S 0.0000 0.5000 0.0000 1
Cl1 Cl 0.0000 0.0000 0.5000 1



# 13
# PBE-GGA GePbS2Cl, relaxed
# Electronic total energy: -3.308 eV per atom
# ΔE_f (raw): 0.38 eV per atom
# Theoretical density: 3.912 g cm⁻³
# Volume: 32.21 Å³ per atom
# Relative energy among the computed polymorphs: 600 meV/atom
data_GePbS2Cl
_cell_length_a 5.5161
_cell_length_b 5.5161
_cell_length_c 5.2934
_cell_angle_alpha 90.00
_cell_angle_beta 90.00
_cell_angle_gamma 90.00
_space_group_name_H-M_alt 'P 4/m m m'
_space_group_IT_number 123
_space_group_name_Hall '-P 4 2'
loop_
_atom_site_label
_atom_site_type_symbol
_atom_site_fract_x
_atom_site_fract_y
_atom_site_fract_z
_atom_site_occupancy
Ge1 Ge 0.0000 0.0000 0.0000 1
Pb1 Pb 0.5000 0.5000 0.5000 1
S1 S 0.0000 0.5000 0.5000 1
Cl1 Cl 0.5000 0.5000 0.0000 1



# 14
# PBE-GGA GeSbPb2Cl, relaxed
# Electronic total energy: -3.069 eV per atom
# ΔE_f (raw): 0.53 eV per atom
# Theoretical density: 6.481 g cm⁻³
# Volume: 33.01 Å³ per atom
data_GeSbPb2Cl
_cell_length_a 5.5005
_cell_length_b 5.5005
_cell_length_c 5.4556
_cell_angle_alpha 90.00
_cell_angle_beta 90.00
_cell_angle_gamma 90.00
_space_group_name_H-M_alt 'P 4/m m m'
_space_group_IT_number 123
_space_group_name_Hall '-P 4 2'
loop_
_atom_site_label
_atom_site_type_symbol
_atom_site_fract_x
_atom_site_fract_y
_atom_site_fract_z
_atom_site_occupancy
Ge1 Ge 0.0000 0.0000 0.0000 1
Sb1 Sb 0.5000 0.5000 0.0000 1
Pb1 Pb 0.0000 0.5000 0.5000 1
Cl1 Cl 0.5000 0.5000 0.5000 1



# 15
# PBE-GGA Tc2GePbCl, relaxed
# Electronic total energy: -4.917 eV per atom
# ΔE_f (raw): 1.26 eV per atom
# Theoretical density: 7.871 g cm⁻³
# Volume: 21.57 Å³ per atom
data_Tc2GePbCl
_cell_length_a 4.3976
_cell_length_b 4.3976
_cell_length_c 5.5779
_cell_angle_alpha 90.00
_cell_angle_beta 90.00
_cell_angle_gamma 90.00
_space_group_name_H-M_alt 'P 4/m m m'
_space_group_IT_number 123
_space_group_name_Hall '-P 4 2'
loop_
_atom_site_label
_atom_site_type_symbol
_atom_site_fract_x
_atom_site_fract_y
_atom_site_fract_z
_atom_site_occupancy
Tc1 Tc 0.0000 0.5000 0.0000 1
Ge1 Ge 0.0000 0.0000 0.5000 1
Pb1 Pb 0.5000 0.5000 0.5000 1
Cl1 Cl 0.5000 0.5000 0.0000 1



# 16
# PBE-GGA Tl2GePbCl6, relaxed
# Electronic total energy: -3.406 eV per atom
# ΔE_f (raw): -0.99 eV per atom
# Theoretical density: 4.750 g cm⁻³
# Volume: 31.51 Å³ per atom
data_Tl2GePbCl6
_cell_length_a 13.0035
_cell_length_b 7.6827
_cell_length_c 7.6839
_cell_angle_alpha 90.00
_cell_angle_beta 124.82
_cell_angle_gamma 90.00
_space_group_name_H-M_alt 'C 1 2/m 1'
_space_group_IT_number 12
loop_
_space_group_symop_operation_xyz
'x,y,z'
'-x,-y,-z'
'-x,y,-z'
'x,-y,z'
'x+1/2,y+1/2,z'
'-x+1/2,-y+1/2,-z'
'-x+1/2,y+1/2,-z'
'x+1/2,-y+1/2,z'
loop_
_atom_site_label
_atom_site_type_symbol
_atom_site_fract_x
_atom_site_fract_y
_atom_site_fract_z
_atom_site_occupancy
Tl1 Tl 0.2464 0.0000 0.2199 1
Ge1 Ge 0.0000 0.5000 0.0000 1
Pb1 Pb 0.0000 0.0000 0.5000 1
Cl1 Cl 0.0584 0.2569 0.8198 1
Cl2 Cl 0.2376 0.5000 0.3411 1



# 17
# PBE-GGA GePdCl2, relaxed
# Electronic total energy: -3.375 eV per atom
# ΔE_f (raw): 0.00 eV per atom
# Theoretical density: 4.644 g cm⁻³
# Volume: 22.34 Å³ per atom
# Relative energy among the computed polymorphs: 105 meV/atom
data_GePdCl2
_cell_length_a 3.4830
_cell_length_b 3.4830
_cell_length_c 25.5209
_cell_angle_alpha 90.00
_cell_angle_beta 90.00
_cell_angle_gamma 120.00
_space_group_name_H-M_alt 'R -3 m'
_space_group_IT_number 166
_space_group_name_Hall '-R 3 2"'
loop_
_atom_site_label
_atom_site_type_symbol
_atom_site_fract_x
_atom_site_fract_y
_atom_site_fract_z
_atom_site_occupancy
Ge1 Ge 0.0000 0.0000 0.0000 1
Pd1 Pd 0.0000 0.0000 0.5000 1
Cl1 Cl 0.0000 0.0000 0.1024 1



# 18
# PBE-GGA GePd2Cl, relaxed
# Electronic total energy: -4.280 eV per atom
# ΔE_f (raw): -0.07 eV per atom
# Theoretical density: 6.372 g cm⁻³
# Volume: 20.91 Å³ per atom
# Relative energy among the computed polymorphs: 23 meV/atom
data_GePd2Cl
_cell_length_a 6.4005
_cell_length_b 6.4005
_cell_length_c 8.1658
_cell_angle_alpha 90.00
_cell_angle_beta 90.00
_cell_angle_gamma 90.00
_space_group_name_H-M_alt 'I -4 2 d'
_space_group_IT_number 122
_space_group_name_Hall 'I -4 2bw'
loop_
_atom_site_label
_atom_site_type_symbol
_atom_site_fract_x
_atom_site_fract_y
_atom_site_fract_z
_atom_site_occupancy
Ge1 Ge 0.0000 0.0000 0.0000 1
Pd1 Pd 0.2286 0.7500 0.1250 1
Cl1 Cl 0.0000 0.0000 0.5000 1



# 19
# PBE-GGA GePdCl2, relaxed
# Electronic total energy: -3.414 eV per atom
# ΔE_f (raw): -0.04 eV per atom
# Theoretical density: 5.532 g cm⁻³
# Volume: 18.76 Å³ per atom
# Relative energy among the computed polymorphs: 66 meV/atom
data_GePdCl2
_cell_length_a 6.6952
_cell_length_b 6.6952
_cell_length_c 6.6952
_cell_angle_alpha 90.00
_cell_angle_beta 90.00
_cell_angle_gamma 90.00
_space_group_name_H-M_alt 'F m -3 m'
_space_group_IT_number 225
_space_group_name_Hall '-F 4 2 3'
loop_
_atom_site_label
_atom_site_type_symbol
_atom_site_fract_x
_atom_site_fract_y
_atom_site_fract_z
_atom_site_occupancy
Ge1 Ge 0.0000 0.0000 0.0000 1
Pd1 Pd 0.0000 0.0000 0.5000 1
Cl1 Cl 0.2500 0.2500 0.2500 1



# 20
# PBE-GGA GePdCl2, relaxed
# Electronic total energy: -3.480 eV per atom
# ΔE_f (raw): -0.10 eV per atom
# Theoretical density: 4.720 g cm⁻³
# Volume: 21.99 Å³ per atom
# Relative energy among the computed polymorphs: 0 meV/atom
data_GePdCl2
_cell_length_a 4.6468
_cell_length_b 4.6468
_cell_length_c 16.2904
_cell_angle_alpha 90.00
_cell_angle_beta 90.00
_cell_angle_gamma 90.00
_space_group_name_H-M_alt 'I -4 2 d'
_space_group_IT_number 122
_space_group_name_Hall 'I -4 2bw'
loop_
_atom_site_label
_atom_site_type_symbol
_atom_site_fract_x
_atom_site_fract_y
_atom_site_fract_z
_atom_site_occupancy
Ge1 Ge 0.0000 0.0000 0.0000 1
Pd1 Pd 0.0000 0.0000 0.5000 1
Cl1 Cl 0.2370 0.2500 0.6250 1